LiTlC: optimized geometry, GGA-PBE.

Calculated values
For the energy, the calculation gives -25.722 eV per cell. The calculation puts the energy of formation at 0.214 eV/atom. The value obtained for the magnetic moment is 0.00 μB/cell.

Cell: 3.4535 3.6324 10.6083 Å, 83.58 80.96 62.04°
Space group P1 (No. 1)
Asymmetric unit:
Li: 0.0000 0.0000 0.0000 [1 per cell]
Li: 0.0140 0.7611 0.2257 [1 per cell]
Tl: 0.2521 0.0628 0.4729 [1 per cell]
Tl: 0.4074 0.4178 0.7585 [1 per cell]
C: 0.2947 0.3595 0.0556 [1 per cell]
C: 0.3744 0.1160 0.1533 [1 per cell]

---

Li3TlC: optimized geometry, GGA-PBE.

Calculated values
For the energy, the calculation gives -15.751 eV per cell. The value obtained for the energy above the most stable polymorph in this dataset is 0.0 kJ/mol of formula units. The calculation puts the energy of formation at 0.316 eV/atom. The value obtained for the magnetic moment is 0.00 μB/cell.

Cell: 4.2098 4.2098 4.2098 Å, 90.00 90.00 90.00°
Space group Pm-3m (No. 221)
Asymmetric unit:
Li: 0.0000 0.0000 0.5000 [3 per cell]
Tl: 0.5000 0.5000 0.5000 [1 per cell]
C: 0.0000 0.0000 0.0000 [1 per cell]

---

LiTlC: optimized geometry, GGA-PBE.

Calculated values
For the energy, the calculation gives -42.365 eV per cell. The calculation puts the energy of formation at 0.971 eV/atom. The value obtained for the magnetic moment is 0.00 μB/cell.

Cell: 6.2795 3.9106 7.3644 Å, 90.00 90.00 90.00°
Space group Pnma (No. 62)
Asymmetric unit:
Li: 0.0300 0.2500 0.1094 [4 per cell]
Tl: 0.1399 0.7500 0.3763 [4 per cell]
C: 0.2492 0.2500 0.5596 [4 per cell]

---

LiTlC: optimized geometry, GGA-PBE.

Calculated values
For the energy, the calculation gives -25.581 eV per cell. The calculation puts the energy of formation at 0.238 eV/atom. The value obtained for the magnetic moment is 0.00 μB/cell.

Cell: 4.1125 5.3704 6.3653 Å, 113.65 108.82 90.04°
Space group P1 (No. 1)
Asymmetric unit:
Li: 0.0000 0.0000 0.0000 [1 per cell]
Li: 0.4773 0.5043 0.9555 [1 per cell]
Tl: 0.2642 0.8980 0.5254 [1 per cell]
Tl: 0.7387 0.3789 0.4751 [1 per cell]
C: 0.0063 0.3879 0.0135 [1 per cell]
C: 0.0079 0.6268 0.0170 [1 per cell]

---

LiTlC: optimized geometry, GGA-PBE.

Calculated values
For the energy, the calculation gives -26.020 eV per cell. The calculation puts the energy of formation at 0.165 eV/atom. The value obtained for the magnetic moment is 0.00 μB/cell.

Cell: 3.4415 3.8610 9.7866 Å, 83.11 89.56 63.96°
Space group P-1 (No. 2)
Asymmetric unit:
Li: 0.1271 0.2485 0.4050 [2 per cell]
Tl: 0.3888 0.7395 0.1479 [2 per cell]
C: 0.4268 0.6472 0.4544 [2 per cell]

---

LiTm2C: optimized geometry, GGA-PBE.

Calculated values
For the energy, the calculation gives -61.806 eV per cell. The value obtained for the energy above the most stable polymorph in this dataset is 23.1 kJ/mol of formula units. The calculation puts the energy of formation at -0.130 eV/atom. The value obtained for the magnetic moment is 0.00 μB/cell.

Cell: 3.4670 3.4670 27.5933 Å, 90.00 90.00 120.00°
Space group R-3m (No. 166, hexagonal axes)
Asymmetric unit:
Li: 0.0000 0.0000 0.0000 [3 per cell]
Tm: 0.0000 0.0000 0.1186 [6 per cell]
C: 0.0000 0.0000 0.5000 [3 per cell]